Record 1
A geometry-optimized YOsRu2 structure. Source: Alexandria via LeMat-Bulk, functional PBEsol.

Lattice parameters (Å, degrees): 4.179 4.179 4.683 116.50 116.50 90.00
Element x y z (fractional)
Ru1 0.250 0.750 0.500
Y1 0.500 0.500 0.000
Ru2 0.750 0.250 0.500
Os1 0.000 0.000 0.000

Properties
polymorph energy (0 for the lowest one) = 87 meV/atom
space-group type = I4/mmm (139)

Record 2
A geometry-optimized Mg3C structure. Source: Alexandria via LeMat-Bulk, functional PBEsol.

Lattice parameters (Å, degrees): 2.959 5.190 5.190 116.48 100.96 100.96
Element x y z (fractional)
Mg1 0.000 0.500 0.500
C1 0.000 0.000 0.000
Mg2 0.500 0.000 0.500
Mg3 0.500 0.500 0.000

Properties
space-group type = R-3m (166)

Record 3
A geometry-optimized SrSc2Cr structure. Source: Alexandria via LeMat-Bulk, functional PBEsol.

Lattice parameters (Å, degrees): 3.458 5.429 6.222 115.87 106.13 90.00
Element x y z (fractional)
Sr1 0.500 0.000 0.000
Cr1 0.000 0.500 0.000
Sc1 0.291 0.291 0.583
Sc2 0.709 0.709 0.417

Properties
polymorph energy (0 for the lowest one) = 152 meV/atom
space-group type = Immm (71)

no.,E_form (kJ/mol of atoms)
1,31.1
2,106.9
3,47.3